No. 1
Computed, not measured: an optimized crystal structure of Ac2TlPd6Au at the PBE-GGA level of DFT.

Cell: 7.149 7.149 7.149 Å, 60.00 60.00 90.00°
Fractional coordinates of all 10 atoms:
Pd 0.250 0.750 0.000
Pd 0.750 0.750 0.499
Pd 0.750 0.750 0.000
Pd 0.750 0.250 0.000
Pd 0.250 0.250 0.501
Pd 0.250 0.250 0.000
Ac 0.750 0.250 0.500
Ac 0.250 0.750 0.500
Au 0.000 0.000 0.000
Tl 0.500 0.500 0.000

Calculated values
ΔH_f (0 K)	-6.20	kJ per mole of atoms

No. 2
Computed, not measured: an optimized crystal structure of Ac2TlPd12Au3 at the PBE-GGA level of DFT.

Cell: 7.100 7.100 7.100 Å, 82.45 82.45 82.45°
Fractional coordinates of all 18 atoms:
Pd 0.200 0.200 0.714
Pd 0.592 0.592 0.129
Pd 0.871 0.408 0.408
Pd 0.714 0.200 0.200
Pd 0.592 0.129 0.592
Pd 0.200 0.714 0.200
Pd 0.408 0.408 0.871
Pd 0.800 0.286 0.800
Pd 0.408 0.871 0.408
Pd 0.800 0.800 0.286
Pd 0.286 0.800 0.800
Pd 0.129 0.592 0.592
Au 0.000 0.500 0.000
Au 0.500 0.000 0.000
Au 0.000 0.000 0.500
Ac 0.697 0.697 0.697
Ac 0.303 0.303 0.303
Tl 0.000 0.000 0.000

Calculated values
ΔH_f (0 K)	-30.09	kJ per mole of atoms

No. 3
Computed, not measured: an optimized crystal structure of Ac3TlPd6Au2 at the PBE-GGA level of DFT.

Cell: 5.915 5.915 9.203 Å, 90.00 90.00 120.00°
Fractional coordinates of all 12 atoms:
Ac 0.667 0.333 0.359
Ac 0.000 0.000 0.000
Ac 0.333 0.667 0.641
Au 0.333 0.667 0.015
Au 0.667 0.333 0.985
Pd 0.823 0.177 0.727
Pd 0.823 0.647 0.727
Pd 0.647 0.823 0.273
Pd 0.353 0.177 0.727
Pd 0.177 0.823 0.273
Pd 0.177 0.353 0.273
Tl 0.000 0.000 0.500

Calculated values
ΔH_f (0 K)	-61.41	kJ per mole of atoms

Number 1: DOS(E_F) 6.36 states/eV/f.u., total magnetization 0.00 μB/f.u., VASP energy -4.5661 eV/atom. Number 2: DOS(E_F) 9.24 states/eV/f.u., total magnetization 0.00 μB/f.u., VASP energy -4.9079 eV/atom. Number 3: DOS(E_F) 6.98 states/eV/f.u., total magnetization 0.00 μB/f.u., VASP energy -5.0034 eV/atom.